Here is a relaxed structure of BaSr2Hg from Alexandria. Energies are from GGA-PBEsol.

Cell lengths 4.1215, 6.2261, 13.2104 Å; angles 90.00, 90.00, 90.00 degrees
Space group Immm (No. 71)
Asymmetric unit:
Ba1 0.0000 0.0000 0.0000 (multiplicity 2)
Sr1 0.0000 0.5000 0.1928 (multiplicity 4)
Hg1 0.0000 0.0000 0.5000 (multiplicity 2)

Results
ΔH_f (0 K) (eV per atom): -0.271
DOS(E_F) (states/eV/f.u.): 3.6

---

Here is a relaxed structure of Ba2SrHg from Alexandria. Energies are from GGA-PBEsol.

Cell lengths 4.0892, 4.0892, 10.5477 Å; angles 90.00, 90.00, 90.00 degrees
Space group P4mm (No. 99)
Asymmetric unit:
Ba1 0.0000 0.0000 0.0000 (multiplicity 1)
Ba2 0.5000 0.5000 0.3312 (multiplicity 1)
Sr1 0.5000 0.5000 0.6891 (multiplicity 1)
Hg1 0.0000 0.0000 0.5232 (multiplicity 1)

Results
ΔH_f (0 K) (eV per atom): -0.283
DOS(E_F) (states/eV/f.u.): 5.0

---

Here is a relaxed structure of BaSrHg from Alexandria. Energies are from GGA-PBEsol.

Cell lengths 7.8071, 7.8071, 7.8071 Å; angles 90.00, 90.00, 90.00 degrees
Space group F-43m (No. 216)
Asymmetric unit:
Ba1 0.0000 0.0000 0.0000 (multiplicity 4)
Sr1 0.2500 0.2500 0.2500 (multiplicity 4)
Hg1 0.2500 0.2500 0.7500 (multiplicity 4)

Results
ΔH_f (0 K) (eV per atom): 0.157
DOS(E_F) (states/eV/f.u.): 4.2
ΔE to the lowest computed polymorph (eV/atom): 0.565

---

Here is a relaxed structure of BaSr2Hg2 from Alexandria. Energies are from GGA-PBEsol.

Cell lengths 9.3318, 9.3318, 3.7899 Å; angles 90.00, 90.00, 90.00 degrees
Space group P4/mbm (No. 127)
Asymmetric unit:
Ba1 0.0000 0.0000 0.0000 (multiplicity 2)
Sr1 0.1342 0.3658 0.0000 (multiplicity 4)
Hg1 0.1621 0.6621 0.5000 (multiplicity 4)

Results
ΔH_f (0 K) (eV per atom): -0.414
DOS(E_F) (states/eV/f.u.): 3.3

---

Here is a relaxed structure of Ba2SrHg from Alexandria. Energies are from GGA-PBEsol.

Cell lengths 4.5368, 4.8947, 17.0120 Å; angles 90.00, 90.00, 90.00 degrees
Space group Amm2 (No. 38)
Asymmetric unit:
Ba1 0.0000 0.0000 0.0000 (multiplicity 2)
Ba2 0.5000 0.0000 0.3486 (multiplicity 2)
Sr1 0.0000 0.0000 0.6972 (multiplicity 2)
Hg1 0.5000 0.0000 0.5560 (multiplicity 2)

Results
ΔH_f (0 K) (eV per atom): -0.217
DOS(E_F) (states/eV/f.u.): 3.6

---

Here is a relaxed structure of BaSr2Hg from Alexandria. Energies are from GGA-PBEsol.

Cell lengths 4.1288, 6.1352, 13.2185 Å; angles 90.00, 90.00, 90.00 degrees
Space group Imm2 (No. 44)
Asymmetric unit:
Ba1 0.0000 0.0000 0.0000 (multiplicity 2)
Sr1 0.0000 0.0000 0.3912 (multiplicity 2)
Sr2 0.0000 0.5000 0.1957 (multiplicity 2)
Hg1 0.0000 0.5000 0.7014 (multiplicity 2)

Results
ΔH_f (0 K) (eV per atom): -0.231
DOS(E_F) (states/eV/f.u.): 5.1